First-principles (PBE) data for a geometry-optimized Cd2PtRh structure, as listed in Alexandria.

Cell lengths 5.381, 5.381, 4.895 Å; angles 71.10, 71.10, 31.62 degrees
Last column: magnetic moment on the atom in μB.
Element x y z (fractional)
Cd 0.984 0.984 0.072  0.00
Cd 0.765 0.765 0.681  0.00
Pt 0.517 0.517 0.555  0.02
Rh 0.235 0.235 0.192  0.06

The calculation puts the energy relative to the elements at -0.15 eV per atom. Its space group is Cm, No. 8.